Run A
Material: Ge2BiI2
Method: DFT, PBE-GGA
State: relaxed

magnetic moment = 0.00 Bohr magnetons per cell
crystal system = tetragonal

Cell and atoms, written as CIF:
```
data_Ge2BiI2
_space_group_name_H-M_alt 'I 4/m m m'
_space_group_IT_number 139
_space_group_name_Hall '-I 4 2'
_cell_length_a 5.108
_cell_length_b 5.108
_cell_length_c 11.963
_cell_angle_alpha 90.00
_cell_angle_beta 90.00
_cell_angle_gamma 90.00
loop_
_atom_site_label
_atom_site_fract_x
_atom_site_fract_y
_atom_site_fract_z
Ge1 0.000 0.000 0.109
Bi1 0.000 0.000 0.500
I1 0.000 0.500 0.250
```



Run B
Material: Ge2BiI2
Method: DFT, PBE-GGA
State: relaxed

magnetic moment = 0.00 Bohr magnetons per cell
crystal system = tetragonal

Cell and atoms, written as CIF:
```
data_Ge2BiI2
_space_group_name_H-M_alt 'P 4/m b m'
_space_group_IT_number 127
_space_group_name_Hall '-P 4 2ab'
_cell_length_a 8.883
_cell_length_b 8.883
_cell_length_c 3.988
_cell_angle_alpha 90.00
_cell_angle_beta 90.00
_cell_angle_gamma 90.00
loop_
_atom_site_label
_atom_site_fract_x
_atom_site_fract_y
_atom_site_fract_z
Ge1 0.200 0.300 0.000
Bi1 0.000 0.000 0.000
I1 0.140 0.640 0.500
```



Stability, highest: run B



Run A
Material: GeBi3I
Method: DFT, PBE-GGA
State: relaxed

magnetic moment = 0.00 Bohr magnetons per cell
crystal system = cubic

Cell and atoms, written as CIF:
```
data_GeBi3I
_space_group_name_H-M_alt 'P m -3 m'
_space_group_IT_number 221
_space_group_name_Hall '-P 4 2 3'
_cell_length_a 5.901
_cell_length_b 5.901
_cell_length_c 5.901
_cell_angle_alpha 90.00
_cell_angle_beta 90.00
_cell_angle_gamma 90.00
loop_
_atom_site_label
_atom_site_fract_x
_atom_site_fract_y
_atom_site_fract_z
Ge1 0.000 0.000 0.000
Bi1 0.000 0.500 0.500
I1 0.500 0.500 0.500
```



Run B
Material: GeBi3I
Method: DFT, PBE-GGA
State: relaxed

magnetic moment = 0.00 Bohr magnetons per cell
crystal system = cubic

Cell and atoms, written as CIF:
```
data_GeBi3I
_space_group_name_H-M_alt 'P m -3 m'
_space_group_IT_number 221
_space_group_name_Hall '-P 4 2 3'
_cell_length_a 5.621
_cell_length_b 5.621
_cell_length_c 5.621
_cell_angle_alpha 90.00
_cell_angle_beta 90.00
_cell_angle_gamma 90.00
loop_
_atom_site_label
_atom_site_fract_x
_atom_site_fract_y
_atom_site_fract_z
Ge1 0.000 0.000 0.000
Bi1 0.000 0.000 0.500
I1 0.500 0.500 0.500
```



Stability, highest: run B